1.
The following is a DFT calculation (PBE) of a relaxed LaBSe3 crystal.

a = 5.772 Å, b = 5.772 Å, c = 5.772 Å
α = 90.00°, β = 90.00°, γ = 90.00°
Atoms (fractional coordinates):
1 La 0.000 0.000 0.000
2 B 0.500 0.500 0.500
3 Se 0.000 0.000 0.500
4 Se 0.000 0.500 0.000
5 Se 0.500 0.000 0.000

Summary:
The value obtained for the raw formation energy is 0.641 eV per atom. The total energy comes out at -18.9 eV/f.u.

2.
The following is a DFT calculation (PBE) of a relaxed Sc2Cd12Ag crystal.

a = 5.981 Å, b = 5.981 Å, c = 19.679 Å
α = 90.00°, β = 90.00°, γ = 90.00°
Atoms (fractional coordinates):
1 Sc 0.250 0.750 0.247
2 Sc 0.250 0.750 0.753
3 Sc 0.750 0.250 0.247
4 Sc 0.750 0.250 0.753
5 Cd 0.000 0.000 0.403
6 Cd 0.000 0.000 0.597
7 Cd 0.000 0.500 0.403
8 Cd 0.000 0.500 0.597
9 Cd 0.076 0.576 0.067
10 Cd 0.076 0.924 0.933
11 Cd 0.250 0.250 0.165
12 Cd 0.250 0.250 0.301
13 Cd 0.250 0.250 0.699
14 Cd 0.250 0.250 0.835
15 Cd 0.424 0.576 0.933
16 Cd 0.424 0.924 0.067
17 Cd 0.500 0.000 0.403
18 Cd 0.500 0.000 0.597
19 Cd 0.500 0.500 0.403
20 Cd 0.500 0.500 0.597
21 Cd 0.576 0.076 0.933
22 Cd 0.576 0.424 0.067
23 Cd 0.750 0.750 0.165
24 Cd 0.750 0.750 0.301
25 Cd 0.750 0.750 0.699
26 Cd 0.750 0.750 0.835
27 Cd 0.924 0.076 0.067
28 Cd 0.924 0.424 0.933
29 Ag 0.250 0.750 0.500
30 Ag 0.750 0.250 0.500

Summary:
The calculation puts the energy of formation from the pure elements at 0.027 eV per atom. The total energy comes out at -26.1 eV/f.u.